[1]
## ScFe2Ru (PBE)

Data for a geometry-optimized ScFe2Ru structure.

Properties
The calculation puts the volume at 14.713 Å³/atom. The calculated total energy comes out at -8.238 eV/atom. For the density of states at the Fermi level, the calculation gives 1.06 states/eV per atom.

Cell: 6.9458 6.9458 6.9458 Å, 146.30 140.45 52.92°
Last column: nearest neighbours and their distance in Å.
Element x y z (fractional)
Sc 0.4059 0.1559 0.2500  3 Fe 2.60-2.67
Sc 0.5941 0.8441 0.7500  3 Fe 2.60-2.67
Fe 0.0000 0.5000 0.5000  6 Fe 2.35-2.42
Fe 0.1967 0.9467 0.2500  6 Fe 2.42-2.70, 3 Sc 2.60-2.67, 2 Ru 2.64
Fe 0.5000 0.5000 0.0000  6 Fe 2.35-2.42
Fe 0.8033 0.0533 0.7500  6 Fe 2.42-2.70, 3 Sc 2.60-2.67, 2 Ru 2.64
Ru 0.0591 0.3091 0.7500  2 Ru 2.49, 4 Fe 2.64-2.65
Ru 0.9409 0.6909 0.2500  2 Ru 2.49, 4 Fe 2.64-2.65


[2]
## ScFe2Ru (PBE)

Data for a geometry-optimized ScFe2Ru structure.

Properties
The calculation puts the volume at 14.345 Å³/atom. The calculated total energy comes out at -8.186 eV/atom. For the density of states at the Fermi level, the calculation gives 1.36 states/eV per atom.

Cell: 3.0653 3.0653 6.1068 Å, 90.00 90.00 90.00°
Last column: nearest neighbours and their distance in Å.
Element x y z (fractional)
Sc 0.0000 0.0000 0.0000  5 Fe 2.75-2.97, 4 Ru 2.78, 4 Sc 3.07
Fe 0.0000 0.0000 0.4861  4 Fe 2.51, 4 Ru 2.58
Fe 0.5000 0.5000 0.2781  4 Fe 2.51, 1 Ru 2.67, 4 Sc 2.75
Ru 0.5000 0.5000 0.7145  5 Fe 2.58-2.67, 4 Sc 2.78